(1)
# DyY2BiC (GGA-PBE, relaxed)
# ΔE_f, eV per atom: -0.552
data_DyY2BiC
_cell_length_a 4.9326
_cell_length_b 4.9326
_cell_length_c 4.9305
_cell_angle_alpha 90.00
_cell_angle_beta 90.00
_cell_angle_gamma 90.00
_symmetry_space_group_name_H-M 'P 4/m m m'
_symmetry_Int_Tables_number 123
_symmetry_space_group_name_Hall '-P 4 2'
loop_
_atom_site_label
_atom_site_fract_x
_atom_site_fract_y
_atom_site_fract_z
_atom_site_occupancy
Dy1 0.0000 0.0000 0.0000 1
Y1 0.0000 0.5000 0.5000 1
Bi1 0.5000 0.5000 0.0000 1
C1 0.0000 0.0000 0.5000 1



(2)
# Sr2AgB2O6 (GGA-PBE, relaxed)
# ΔE_f (raw), eV/atom: -2.294
data_Sr2AgB2O6
_cell_length_a 10.2708
_cell_length_b 5.1216
_cell_length_c 6.1846
_cell_angle_alpha 90.00
_cell_angle_beta 116.44
_cell_angle_gamma 90.00
_symmetry_space_group_name_H-M 'C 1 2/m 1'
_symmetry_Int_Tables_number 12
loop_
_symmetry_equiv_pos_as_xyz
'x,y,z'
'-x,-y,-z'
'-x,y,-z'
'x,-y,z'
'x+1/2,y+1/2,z'
'-x+1/2,-y+1/2,-z'
'-x+1/2,y+1/2,-z'
'x+1/2,-y+1/2,z'
loop_
_atom_site_label
_atom_site_fract_x
_atom_site_fract_y
_atom_site_fract_z
_atom_site_occupancy
Sr1 0.2012 0.0000 0.2028 1
Ag1 0.0000 0.0000 0.5000 1
B1 0.0144 0.5000 0.2511 1
O1 0.0699 0.2713 0.8018 1
O2 0.1616 0.5000 0.3441 1



(3)
# TcNiIr (GGA-PBE, relaxed)
# ΔE_f, eV per atom: 0.454
# E above lowest polymorph, meV per atom: 592
data_TcNiIr
_cell_length_a 5.7831
_cell_length_b 5.7831
_cell_length_c 5.7831
_cell_angle_alpha 90.00
_cell_angle_beta 90.00
_cell_angle_gamma 90.00
_symmetry_space_group_name_H-M 'F -4 3 m'
_symmetry_Int_Tables_number 216
_symmetry_space_group_name_Hall 'F -4 2 3'
loop_
_atom_site_label
_atom_site_fract_x
_atom_site_fract_y
_atom_site_fract_z
_atom_site_occupancy
Tc1 0.0000 0.0000 0.0000 1
Ni1 0.0000 0.0000 0.5000 1
Ir1 0.2500 0.2500 0.7500 1



(4)
# Li2CuI3 (GGA-PBE, relaxed)
# ΔE_f (raw), eV/atom: -0.847
data_Li2CuI3
_cell_length_a 7.7317
_cell_length_b 13.4372
_cell_length_c 7.6856
_cell_angle_alpha 90.00
_cell_angle_beta 109.22
_cell_angle_gamma 90.00
_symmetry_space_group_name_H-M 'C 1 c 1'
_symmetry_Int_Tables_number 9
loop_
_symmetry_equiv_pos_as_xyz
'x,y,z'
'x,-y,z+1/2'
'x+1/2,y+1/2,z'
'x+1/2,-y+1/2,z+1/2'
loop_
_atom_site_label
_atom_site_fract_x
_atom_site_fract_y
_atom_site_fract_z
_atom_site_occupancy
Li1 0.0000 0.0832 0.0000 1
Li2 0.0024 0.2542 0.5020 1
Cu1 0.0011 0.4194 0.0020 1
I1 0.3640 0.4150 0.1184 1
I2 0.3811 0.2431 0.6204 1
I3 0.3833 0.0758 0.1377 1



(5)
# MoPt2 (GGA-PBE, relaxed)
# ΔE_f, eV per atom: 0.548
# E above lowest polymorph, meV per atom: 927
data_MoPt2
_cell_length_a 6.1261
_cell_length_b 6.1261
_cell_length_c 6.1261
_cell_angle_alpha 90.00
_cell_angle_beta 90.00
_cell_angle_gamma 90.00
_symmetry_space_group_name_H-M 'P a -3'
_symmetry_Int_Tables_number 205
_symmetry_space_group_name_Hall '-P 2ac 2ab 3'
loop_
_atom_site_label
_atom_site_fract_x
_atom_site_fract_y
_atom_site_fract_z
_atom_site_occupancy
Mo1 0.0000 0.0000 0.0000 1
Pt1 0.1221 0.6221 0.8779 1



(6)
# Ce2RhPb (GGA-PBE, relaxed)
# ΔE_f, eV per atom: -0.476
# E above lowest polymorph, meV per atom: 59
data_Ce2RhPb
_cell_length_a 3.9413
_cell_length_b 3.9413
_cell_length_c 24.9773
_cell_angle_alpha 90.00
_cell_angle_beta 90.00
_cell_angle_gamma 120.00
_symmetry_space_group_name_H-M 'R -3 m'
_symmetry_Int_Tables_number 166
_symmetry_space_group_name_Hall '-R 3 2"'
loop_
_atom_site_label
_atom_site_fract_x
_atom_site_fract_y
_atom_site_fract_z
_atom_site_occupancy
Ce1 0.0000 0.0000 0.2331 1
Rh1 0.0000 0.0000 0.5000 1
Pb1 0.0000 0.0000 0.0000 1



no.,energy (eV per cell)
1,-33.4
2,-149.1
3,-94.6
4,-70.6
5,-85.1
6,-74.5